[1]
# K2SnHgTe4 (PBE, relaxed)
data_K2SnHgTe4
_space_group_name_H-M_alt 'I -4 2 m'
_space_group_IT_number 121
_space_group_name_Hall 'I -4 2'
_cell_length_a 8.760
_cell_length_b 8.760
_cell_length_c 7.470
_cell_angle_alpha 90.00
_cell_angle_beta 90.00
_cell_angle_gamma 90.00
loop_
_atom_site_label
_atom_site_type_symbol
_atom_site_fract_x
_atom_site_fract_y
_atom_site_fract_z
K1 K 0.000 0.500 0.000
Sn1 Sn 0.000 0.000 0.000
Hg1 Hg 0.000 0.000 0.500
Te1 Te 0.176 0.176 0.762
# Calculated total energy = -47.18 eV/cell
# Formation energy without anion corrections = -436 kJ/mol of formula units

[2]
# YCdAgSn (PBE, relaxed)
data_YCdAgSn
_space_group_name_H-M_alt 'F -4 3 m'
_space_group_IT_number 216
_space_group_name_Hall 'F -4 2 3'
_cell_length_a 7.209
_cell_length_b 7.209
_cell_length_c 7.209
_cell_angle_alpha 90.00
_cell_angle_beta 90.00
_cell_angle_gamma 90.00
loop_
_atom_site_label
_atom_site_type_symbol
_atom_site_fract_x
_atom_site_fract_y
_atom_site_fract_z
Y1 Y 0.000 0.000 0.000
Cd1 Cd 0.000 0.000 0.500
Ag1 Ag 0.250 0.250 0.250
Sn1 Sn 0.250 0.250 0.750
# Calculated total energy = -61.63 eV/cell
# Energy relative to the elements = -294 meV per atom
# Energy relative to the lowest polymorph listed for this composition = 94 meV per atom

[3]
# GaAs2CF (PBE, relaxed)
data_GaAs2CF
_space_group_name_H-M_alt 'P 4/m m m'
_space_group_IT_number 123
_space_group_name_Hall '-P 4 2'
_cell_length_a 5.047
_cell_length_b 5.047
_cell_length_c 3.699
_cell_angle_alpha 90.00
_cell_angle_beta 90.00
_cell_angle_gamma 90.00
loop_
_atom_site_label
_atom_site_type_symbol
_atom_site_fract_x
_atom_site_fract_y
_atom_site_fract_z
Ga1 Ga 0.000 0.000 0.000
As1 As 0.000 0.500 0.000
C1 C 0.000 0.000 0.500
F1 F 0.500 0.500 0.500
# Calculated total energy = -17.98 eV/cell
# Formation energy without anion corrections = 525 kJ/mol of formula units

[4]
# Zr2CdOs (PBE, relaxed)
data_Zr2CdOs
_space_group_name_H-M_alt 'I -4 2 d'
_space_group_IT_number 122
_space_group_name_Hall 'I -4 2bw'
_cell_length_a 7.740
_cell_length_b 7.740
_cell_length_c 5.773
_cell_angle_alpha 90.00
_cell_angle_beta 90.00
_cell_angle_gamma 90.00
loop_
_atom_site_label
_atom_site_type_symbol
_atom_site_fract_x
_atom_site_fract_y
_atom_site_fract_z
Zr1 Zr 0.205 0.250 0.125
Cd1 Cd 0.000 0.000 0.500
Os1 Os 0.000 0.000 0.000
# Calculated total energy = -113.79 eV/cell
# Energy relative to the elements = 199 meV per atom